## La2TeO5 (PBE)

Data for a relaxed La2TeO5 crystal.

Computed properties:
For the magnetization, the calculation gives 0.0 μB/f.u. The uncorrected formation energy comes out at -2279 meV per atom. The energy above the most stable polymorph in this dataset is 287.6 meV/atom.

```
data_La2TeO5
_symmetry_space_group_name_H-M 'I 4 m m'
_symmetry_Int_Tables_number 107
_symmetry_space_group_name_Hall 'I 4 -2'
_cell_length_a 5.7260
_cell_length_b 5.7260
_cell_length_c 7.3216
_cell_angle_alpha 90.00
_cell_angle_beta 90.00
_cell_angle_gamma 90.00
loop_
_atom_site_label
_atom_site_type_symbol
_atom_site_fract_x
_atom_site_fract_y
_atom_site_fract_z
La1 La 0.0000 0.5000 0.0000
Te1 Te 0.0000 0.0000 0.2443
O1 O 0.0000 0.0000 0.9845
O2 O 0.2502 0.2502 0.2140
```